An optimized crystal structure of Mn2Tl14Te9, computed with GGA-PBE.

Formation energy without anion corrections = -0.25 eV per atom
Calculated density = 7100 kg/m³
Space-group type = P-3, No. 147

Lattice parameters (Å, degrees): 9.5721 9.5721 12.1430 90.00 90.00 120.00
Closest atoms and distances in Å follow each position.
Positions (direct):
1 Tl 0.3263 0.8956 0.6266  3 Te 3.23-3.43
2 Mn 0.3333 0.6667 0.2799  4 Te 2.73-2.74
3 Te 0.6258 0.7398 0.3650  1 Mn 2.73
4 Mn 0.6667 0.3333 0.7201  4 Te 2.73-2.74
5 Te 0.3742 0.2602 0.6350  1 Mn 2.73
6 Tl 0.6698 0.6540 0.1033  4 Te 3.34-3.61
7 Tl 0.1044 0.4307 0.6266  3 Te 3.23-3.43
8 Tl 0.8956 0.5693 0.3734  3 Te 3.23-3.43
9 Tl 0.4307 0.3263 0.3734  3 Te 3.23-3.43
10 Te 0.0000 0.0000 0.0000  8 Tl 3.40-3.47
11 Tl 0.3460 0.0158 0.1033  4 Te 3.34-3.61
12 Te 0.1141 0.3742 0.3650  1 Mn 2.73
13 Tl 0.6737 0.1044 0.3734  3 Te 3.23-3.43
14 Tl 0.3302 0.3460 0.8967  4 Te 3.34-3.61
15 Te 0.6667 0.3333 0.9456  1 Mn 2.74
16 Tl 0.6540 0.9842 0.8967  4 Te 3.34-3.61
17 Tl 0.5693 0.6737 0.6266  3 Te 3.23-3.43
18 Te 0.8859 0.6258 0.6350  1 Mn 2.73
19 Te 0.7398 0.1141 0.6350  1 Mn 2.73
20 Tl 0.9842 0.3302 0.1033  4 Te 3.34-3.61
21 Te 0.2602 0.8859 0.3650  1 Mn 2.73
22 Tl 0.0158 0.6698 0.8967  4 Te 3.34-3.61
23 Te 0.3333 0.6667 0.0544  1 Mn 2.74
24 Tl 0.0000 0.0000 0.2796  4 Te 3.34-3.40
25 Tl 0.0000 0.0000 0.7204  4 Te 3.34-3.40